(1)
{"formula": "Pu6FeRh5", "functional": "PBE-GGA", "state": "optimized geometry", "formation_energy_ev_per_fu": -3.46, "crystal_system": "monoclinic", "final_energy_ev_per_cell": -134.7, "lattice_angstrom": [[-0.438, 4.162, 2.245], [-5.629, 0.915, -2.795], [-6.607, -1.093, 5.733]], "species": ["Rh", "Rh", "Rh", "Rh", "Rh", "Fe", "Pu", "Pu", "Pu", "Pu", "Pu", "Pu"], "fractional_positions": [[0.676, 0.174, 0.651], [0.325, 0.326, 0.347], [0.000, 0.500, 0.000], [0.675, 0.674, 0.653], [0.324, 0.826, 0.349], [0.000, 0.000, 0.000], [0.835, 0.587, 0.328], [0.835, 0.085, 0.328], [0.500, 0.758, 0.000], [0.500, 0.242, 0.000], [0.165, 0.915, 0.672], [0.165, 0.413, 0.672]]}

=====

(2)
{"formula": "PuFeRh", "functional": "PBE-GGA", "state": "optimized geometry", "polymorph_energy_mev_per_atom": 139, "formation_energy_ev_per_fu": -0.15, "crystal_system": "tetragonal", "final_energy_ev_per_cell": -30.3, "lattice_angstrom": [[-1.339, 2.577, 2.216], [-2.462, -2.378, 1.277], [4.398, -1.192, 1.033]], "species": ["Rh", "Fe", "Pu"], "fractional_positions": [[0.627, 0.627, 0.255], [0.262, 0.262, 0.524], [0.961, 0.961, 0.921]]}

=====

(3)
{"formula": "PuFeRh", "functional": "PBE-GGA", "state": "optimized geometry", "polymorph_energy_mev_per_atom": 20, "formation_energy_ev_per_fu": -0.50, "crystal_system": "orthorhombic", "final_energy_ev_per_cell": -61.3, "lattice_angstrom": [[4.200, 0.000, 2.358], [1.436, 4.499, 2.361], [-0.200, 0.023, 5.276]], "species": ["Pu", "Pu", "Fe", "Fe", "Rh", "Rh"], "fractional_positions": [[0.872, 0.378, 0.378], [0.128, 0.622, 0.622], [0.000, 0.000, 0.000], [0.500, 0.000, 0.000], [0.500, 0.500, 0.000], [0.500, 0.000, 0.500]]}